No. 1
! K6BaNa4, relaxed, DFT GGA-PBE; values from VASP
&SYSTEM
  ibrav = 0, nat = 11, ntyp = 3
/
ATOMIC_SPECIES
K 39.10 K.upf
Ba 137.33 Ba.upf
Na 22.99 Na.upf
CELL_PARAMETERS angstrom
-3.074 3.074 18.177
3.074 -3.074 18.177
3.074 3.074 -18.177
ATOMIC_POSITIONS crystal
K 0.112 0.612 0.500
K 0.250 0.750 0.500
K 0.388 0.888 0.500
K 0.612 0.112 0.500
K 0.750 0.250 0.500
K 0.888 0.388 0.500
Ba 0.000 0.000 0.000
Na 0.180 0.180 0.000
Na 0.457 0.457 0.000
Na 0.543 0.543 0.000
Na 0.820 0.820 0.000
! DFT formation energy = 2.4 kcal/mol of atoms

=====

No. 2
! K2BaNa, relaxed, DFT GGA-PBE; values from VASP
&SYSTEM
  ibrav = 0, nat = 8, ntyp = 3
/
ATOMIC_SPECIES
K 39.10 K.upf
Ba 137.33 Ba.upf
Na 22.99 Na.upf
CELL_PARAMETERS angstrom
-5.552 5.552 4.128
5.552 -5.552 4.128
5.552 5.552 -4.128
ATOMIC_POSITIONS crystal
K 0.077 0.625 0.952
K 0.375 0.327 0.452
K 0.673 0.125 0.048
K 0.875 0.923 0.548
Ba 0.250 0.750 0.500
Ba 0.500 0.500 0.000
Na 0.000 0.000 0.000
Na 0.750 0.250 0.500
! DFT formation energy = 3.8 kcal/mol of atoms
! Energy above the lowest structure with this stoichiometry = 12.0 kJ/mol of atoms

=====

No. 3
! KBa5Na4, relaxed, DFT GGA-PBE; values from VASP
&SYSTEM
  ibrav = 0, nat = 10, ntyp = 3
/
ATOMIC_SPECIES
K 39.10 K.upf
Ba 137.33 Ba.upf
Na 22.99 Na.upf
CELL_PARAMETERS angstrom
4.689 0.000 0.000
0.000 4.689 0.000
0.000 0.000 25.143
ATOMIC_POSITIONS crystal
K 0.000 0.000 0.000
Ba 0.500 0.500 0.130
Ba 0.500 0.500 0.314
Ba 0.500 0.500 0.500
Ba 0.500 0.500 0.686
Ba 0.500 0.500 0.870
Na 0.000 0.000 0.222
Na 0.000 0.000 0.407
Na 0.000 0.000 0.593
Na 0.000 0.000 0.778
! DFT formation energy = 0.8 kcal/mol of atoms

=====

No. 4
! KBaNa10, relaxed, DFT GGA-PBE; values from VASP
&SYSTEM
  ibrav = 0, nat = 12, ntyp = 3
/
ATOMIC_SPECIES
K 39.10 K.upf
Ba 137.33 Ba.upf
Na 22.99 Na.upf
CELL_PARAMETERS angstrom
5.831 0.000 0.000
0.000 7.110 0.000
0.000 0.000 12.641
ATOMIC_POSITIONS crystal
K 0.000 0.000 0.000
Ba 0.000 0.500 0.500
Na 0.000 0.000 0.332
Na 0.000 0.000 0.668
Na 0.000 0.500 0.167
Na 0.000 0.500 0.833
Na 0.500 0.000 0.500
Na 0.500 0.258 0.259
Na 0.500 0.258 0.741
Na 0.500 0.500 0.000
Na 0.500 0.742 0.259
Na 0.500 0.742 0.741
! DFT formation energy = 0.6 kcal/mol of atoms

=====

No. 5
! KBaNa, relaxed, DFT GGA-PBE; values from VASP
&SYSTEM
  ibrav = 0, nat = 3, ntyp = 3
/
ATOMIC_SPECIES
K 39.10 K.upf
Ba 137.33 Ba.upf
Na 22.99 Na.upf
CELL_PARAMETERS angstrom
4.394 0.000 0.000
-2.197 3.806 0.000
0.000 0.000 10.464
ATOMIC_POSITIONS crystal
K 0.000 0.000 0.000
Ba 0.333 0.667 0.629
Na 0.667 0.333 0.324
! DFT formation energy = 1.7 kcal/mol of atoms
! Energy above the lowest structure with this stoichiometry = 5.2 kJ/mol of atoms

=====

No. 6
! KBaNa5, relaxed, DFT GGA-PBE; values from VASP
&SYSTEM
  ibrav = 0, nat = 7, ntyp = 3
/
ATOMIC_SPECIES
K 39.10 K.upf
Ba 137.33 Ba.upf
Na 22.99 Na.upf
CELL_PARAMETERS angstrom
5.380 0.000 0.000
0.000 5.380 0.000
0.000 0.000 12.339
ATOMIC_POSITIONS crystal
K 0.000 0.000 0.000
Ba 0.500 0.500 0.500
Na 0.000 0.000 0.500
Na 0.000 0.500 0.255
Na 0.000 0.500 0.745
Na 0.500 0.000 0.255
Na 0.500 0.000 0.745
! DFT formation energy = 2.0 kcal/mol of atoms
! Energy above the lowest structure with this stoichiometry = 0.0 kJ/mol of atoms